[1]
The following is a DFT calculation (PBE) of crystalline TmBeNO at its relaxed geometry.

Results
Relative energy among the computed polymorphs   199 meV/atom
SG   Pmc2_1 (26)
Calculated volume   11.3 Å³ per atom

abc: 3.4409 4.7740 5.5155
angles: 90.00 90.00 90.00
Closest atoms and distances in Å follow each position.
Fractional positions:
N 0.0000 0.9503 0.3072  2 Be 1.90
N 0.0000 0.4502 0.6928  2 Be 1.90
Be 0.5000 0.9996 0.1692  2 O 1.65-1.66
Be 0.5000 0.4996 0.8308  2 O 1.65-1.66
O 0.5000 0.8353 0.9049  2 Be 1.65-1.66
O 0.5000 0.3353 0.0951  2 Be 1.65-1.66
Tm 0.0000 0.9689 0.7105  2 O 2.13, 2 N 2.23-2.30
Tm 0.0000 0.4689 0.2895  2 O 2.13, 2 N 2.23-2.30

***

[2]
The following is a DFT calculation (PBE) of crystalline BeZnNO at its relaxed geometry.

Results
Relative energy among the computed polymorphs   0 meV/atom
SG   Pca2_1 (29)
Calculated volume   9.0 Å³ per atom

abc: 5.1287 6.3800 4.3809
angles: 90.00 90.00 90.00
Closest atoms and distances in Å follow each position.
Fractional positions:
N 0.0515 0.1550 0.5565  1 Be 1.75
N 0.5515 0.8450 0.5565  1 Be 1.75
N 0.4485 0.1550 0.0565  1 Be 1.75
N 0.9485 0.8450 0.0565  1 Be 1.75
Be 0.9096 0.3998 0.4884  3 O 1.63-1.64, 1 N 1.75
Be 0.0904 0.6002 0.9884  3 O 1.63-1.64, 1 N 1.75
Be 0.5904 0.3998 0.9884  3 O 1.63-1.64, 1 N 1.75
Be 0.4096 0.6002 0.4884  3 O 1.63-1.64, 1 N 1.75
O 0.1108 0.5781 0.6190  3 Be 1.63-1.64
O 0.6108 0.4219 0.6190  3 Be 1.63-1.64
O 0.3892 0.5781 0.1190  3 Be 1.63-1.64
O 0.8892 0.4219 0.1190  3 Be 1.63-1.64
Zn 0.5564 0.8561 0.0386  3 N 1.99-2.11, 1 O 2.00
Zn 0.0564 0.1439 0.0386  3 N 1.99-2.11, 1 O 2.00
Zn 0.9436 0.8561 0.5386  3 N 1.99-2.11, 1 O 2.00
Zn 0.4436 0.1439 0.5386  3 N 1.99-2.11, 1 O 2.00